The following is a DFT calculation (PBE with a Hubbard U) of an optimized crystal structure of Na3PmV4O12.

Structure (POSCAR):
```
Na3PmV4O12
1.0
5.695 3.288 2.797
-5.695 3.288 2.797
0.000 -6.577 2.797
Na Pm V O
3 1 4 12
Direct
0.000 0.544 0.456
0.456 0.000 0.544
0.544 0.456 0.000
0.000 0.000 0.000
0.042 0.500 0.958
0.500 0.500 0.500
0.500 0.958 0.042
0.958 0.042 0.500
0.022 0.668 0.818
0.103 0.897 0.500
0.182 0.332 0.978
0.332 0.978 0.182
0.353 0.647 0.500
0.500 0.103 0.897
0.500 0.353 0.647
0.647 0.500 0.353
0.668 0.818 0.022
0.818 0.022 0.668
0.897 0.500 0.103
0.978 0.182 0.332
```

Calculated values
* space-group type: R32, No. 155
* DFT total energy: -0.2440 Ha/atom
* theoretical density: 3.221 g/cm3